(1)
Density functional theory data (GGA-PBE) for a relaxed structure of CdSb2MoPd.

uncorrected energy: -3.511 eV per atom
E_form (uncorrected): 736 kJ/mol of formula units

The structure in extended XYZ format:
```
5
Lattice="5.338 0.000 0.000 0.000 5.338 0.000 0.000 0.000 5.201" Properties=species:S:1:pos:R:3 pbc="T T T"
Cd 0.000 0.000 0.000
Sb 0.000 2.669 0.000
Sb 2.669 0.000 0.000
Mo 0.000 0.000 2.600
Pd 2.669 2.669 2.600
```

***

(2)
Density functional theory data (GGA-PBE) for a relaxed structure of AcPr2TcN4.

uncorrected energy: -8.037 eV per atom
E_form (uncorrected): -671 kJ/mol of formula units

The structure in extended XYZ format:
```
16
Lattice="1.810 -6.190 0.000 1.810 6.190 0.000 0.000 0.000 12.218" Properties=species:S:1:pos:R:3 pbc="T T T"
Ac 1.810 4.792 9.164
Ac 1.810 -4.792 3.055
Pr 1.810 1.634 6.610
Pr 1.810 1.634 11.717
Pr 1.810 -1.634 0.501
Pr 1.810 -1.634 5.608
Tc 1.810 4.279 3.055
Tc 1.810 -4.279 9.164
N 0.000 0.000 0.000
N 0.000 0.000 6.109
N 1.810 2.877 1.626
N 1.810 2.877 4.483
N 1.810 1.022 9.164
N 1.810 -1.022 3.055
N 1.810 -2.877 7.735
N 1.810 -2.877 10.592
```

***

(3)
Density functional theory data (GGA-PBE) for a relaxed structure of TaSbCl2.

E above lowest polymorph: 46.5 kJ/mol of atoms
uncorrected energy: -5.035 eV per atom
E_form (uncorrected): -45 kJ/mol of formula units

The structure in extended XYZ format:
```
4
Lattice="3.139 0.000 0.000 0.000 3.139 0.000 0.000 0.000 8.711" Properties=species:S:1:pos:R:3 pbc="T T T"
Ta 0.000 0.000 0.000
Sb 1.569 1.569 6.537
Cl 0.000 0.000 4.478
Cl 1.569 1.569 1.579
```

***

(4)
Density functional theory data (GGA-PBE) for a relaxed structure of Fe2TcTe.

uncorrected energy: -7.260 eV per atom
E_form (uncorrected): 135 kJ/mol of formula units

The structure in extended XYZ format:
```
4
Lattice="4.506 -1.618 0.000 4.506 1.618 0.000 -1.407 0.000 4.103" Properties=species:S:1:pos:R:3 pbc="T T T"
Fe 0.000 0.000 0.000
Fe 6.356 0.000 0.539
Tc 3.736 0.000 1.941
Te 1.215 0.000 2.741
```

***

(5)
Density functional theory data (GGA-PBE) for a relaxed structure of Ce2Si6Pd21.

uncorrected energy: -5.997 eV per atom
E_form (uncorrected): -1974 kJ/mol of formula units

The structure in extended XYZ format:
```
29
Lattice="0.000 6.136 6.136 6.136 0.000 6.136 6.136 6.136 0.000" Properties=species:S:1:pos:R:3 pbc="T T T"
Ce 3.068 3.068 3.068
Ce 9.204 9.204 9.204
Si 6.136 6.136 2.901
Si 6.136 2.901 6.136
Si 9.370 6.136 6.136
Si 2.901 6.136 6.136
Si 6.136 9.370 6.136
Si 6.136 6.136 9.370
Pd 1.425 1.425 1.425
Pd 4.710 4.710 1.425
Pd 4.710 1.425 4.710
Pd 6.136 4.017 4.017
Pd 8.254 6.136 4.017
Pd 8.254 4.017 6.136
Pd 10.846 7.561 7.561
Pd 4.017 6.136 4.017
Pd 6.136 8.254 4.017
Pd 4.017 4.017 6.136
Pd 6.136 6.136 6.136
Pd 8.254 8.254 6.136
Pd 6.136 4.017 8.254
Pd 8.254 6.136 8.254
Pd 1.425 4.710 4.710
Pd 4.017 8.254 6.136
Pd 4.017 6.136 8.254
Pd 6.136 8.254 8.254
Pd 7.561 10.846 7.561
Pd 7.561 7.561 10.846
Pd 10.846 10.846 10.846
```

***

(6)
Density functional theory data (GGA-PBE) for a relaxed structure of Y6ThSe8.

uncorrected energy: -6.721 eV per atom
E_form (uncorrected): -2579 kJ/mol of formula units

The structure in extended XYZ format:
```
15
Lattice="0.000 5.770 5.770 5.770 0.000 5.770 5.770 5.770 0.000" Properties=species:S:1:pos:R:3 pbc="T T T"
Y 2.885 2.885 0.000
Y 2.885 0.000 2.885
Y 5.770 2.885 2.885
Y 0.000 2.885 2.885
Y 2.885 5.770 2.885
Y 2.885 2.885 5.770
Th 0.000 0.000 0.000
Se 2.885 2.885 2.885
Se 5.770 5.770 3.002
Se 5.770 3.002 5.770
Se 8.538 5.770 5.770
Se 3.002 5.770 5.770
Se 5.770 8.538 5.770
Se 5.770 5.770 8.538
Se 8.655 8.655 8.655
```

***

(7)
Density functional theory data (GGA-PBE) for a relaxed structure of Al2RePt.

DFT formation energy: -0.4045 eV/atom
E above lowest polymorph: 19.0 kJ/mol of atoms
uncorrected energy: -6.898 eV per atom

The structure in extended XYZ format:
```
4
Lattice="1.428 0.825 8.429 -1.428 0.825 8.429 0.000 -1.649 8.429" Properties=species:S:1:pos:R:3 pbc="T T T"
Al 0.000 0.000 6.322
Al 0.000 0.000 18.964
Re 0.000 0.000 0.000
Pt 0.000 0.000 12.643
```

***

(8)
Density functional theory data (GGA-PBE) for a relaxed structure of LiLaTm2.

DFT formation energy: 0.2133 eV/atom
E above lowest polymorph: 11.3 kJ/mol of atoms
uncorrected energy: -3.733 eV per atom

The structure in extended XYZ format:
```
4
Lattice="1.738 1.004 12.084 -1.738 1.004 12.084 0.000 -2.007 12.084" Properties=species:S:1:pos:R:3 pbc="T T T"
Li 0.000 0.000 0.000
La 0.000 0.000 18.127
Tm 0.000 0.000 3.182
Tm 0.000 0.000 33.071
```

***

(9)
Density functional theory data (GGA-PBE) for a relaxed structure of ErPd5Au5.

DFT formation energy: -0.2671 eV/atom
uncorrected energy: -4.532 eV per atom

The structure in extended XYZ format:
```
11
Lattice="5.701 0.000 0.000 0.069 5.881 0.000 1.198 1.451 6.010" Properties=species:S:1:pos:R:3 pbc="T T T"
Er 0.000 0.000 0.000
Pd 1.347 1.472 2.026
Pd 1.379 4.382 2.010
Pd 2.850 0.000 0.000
Pd 5.588 2.949 3.999
Pd 5.621 5.859 3.983
Au 0.035 2.940 0.000
Au 2.781 2.987 4.087
Au 2.815 5.838 4.011
Au 4.153 1.494 1.999
Au 4.187 4.344 1.923
```

***

(10)
Density functional theory data (GGA-PBE) for a relaxed structure of La16Nd6Sm7.

DFT formation energy: 0.1818 eV/atom
uncorrected energy: -4.662 eV per atom

The structure in extended XYZ format:
```
29
Lattice="0.000 8.091 8.091 8.091 0.000 8.091 8.091 8.091 0.000" Properties=species:S:1:pos:R:3 pbc="T T T"
La 10.606 5.575 5.575
La 1.965 1.965 1.965
La 6.126 6.126 1.965
La 6.126 1.965 6.126
La 5.575 5.575 5.575
La 10.606 10.606 5.575
La 10.606 5.575 10.606
La 14.216 10.056 10.056
La 1.965 6.126 6.126
La 5.575 10.606 5.575
La 5.575 5.575 10.606
La 10.606 10.606 10.606
La 10.056 14.216 10.056
La 10.056 10.056 14.216
La 14.216 14.216 14.216
La 5.575 10.606 10.606
Nd 8.091 8.091 4.778
Nd 8.091 4.778 8.091
Nd 11.404 8.091 8.091
Nd 4.778 8.091 8.091
Nd 8.091 11.404 8.091
Nd 8.091 8.091 11.404
Sm 0.000 0.000 0.000
Sm 4.045 4.045 0.000
Sm 4.045 0.000 4.045
Sm 8.091 4.045 4.045
Sm 0.000 4.045 4.045
Sm 4.045 8.091 4.045
Sm 4.045 4.045 8.091
```

***

(11)
Density functional theory data (GGA-PBE) for a relaxed structure of Th4Sb3Ru.

uncorrected energy: -7.189 eV per atom
E_form (uncorrected): -597 kJ/mol of formula units

The structure in extended XYZ format:
```
16
Lattice="7.853 0.000 0.000 0.000 8.925 0.000 -2.461 0.000 7.066" Properties=species:S:1:pos:R:3 pbc="T T T"
Th 1.672 1.003 0.069
Th 0.441 7.922 3.602
Th 0.649 3.116 3.370
Th -0.581 5.809 6.903
Th 5.972 3.116 0.163
Th 4.742 5.809 3.696
Th 4.950 1.003 3.464
Th 3.719 7.922 6.997
Sb -1.846 3.394 5.300
Sb -0.615 5.532 1.767
Sb 2.080 1.096 5.300
Sb 3.311 3.442 1.767
Sb 2.080 5.483 5.300
Sb 3.311 7.829 1.767
Ru -0.615 1.072 1.767
Ru -1.846 7.853 5.300
```

***

(12)
Density functional theory data (GGA-PBE) for a relaxed structure of Ga3WC.

DFT formation energy: 1.8858 eV/atom
E above lowest polymorph: 65.3 kJ/mol of atoms
uncorrected energy: -4.366 eV per atom

The structure in extended XYZ format:
```
5
Lattice="4.959 0.000 0.000 0.000 4.959 0.000 0.000 0.000 4.959" Properties=species:S:1:pos:R:3 pbc="T T T"
Ga 0.000 0.000 2.480
Ga 0.000 2.480 0.000
Ga 2.480 0.000 0.000
W 0.000 0.000 0.000
C 2.480 2.480 2.480
```

***

- What is the uncorrected energy in the sixth record?
  -6.721 eV per atom